1.
This record from Alexandria via LeMat-Bulk describes Lu2ThPb after structural relaxation. The functional is GGA-PBE.

Properties
M_tot = 0.00 Bohr magnetons per cell
density = 11.3 g/cm³
polymorph energy (0 for the lowest one) = 0 meV per atom
D(E_F) = 0.862 states/eV per atom
DFT formation energy = -0.195 eV/atom
symmetry = P4/mmm (123)

abc: 3.605 3.605 8.951
angles: 90.00 90.00 90.00
Element x y z (fractional)
Lu1 0.000 0.000 0.238
Lu2 0.000 0.000 0.762
Th1 0.500 0.500 0.500
Pb1 0.500 0.500 0.000



2.
This record from Alexandria via LeMat-Bulk describes Lu2ThPb after structural relaxation. The functional is GGA-PBE.

Properties
M_tot = 0.00 Bohr magnetons per cell
density = 11.5 g/cm³
polymorph energy (0 for the lowest one) = 6 meV per atom
D(E_F) = 1.116 states/eV per atom
DFT formation energy = -0.189 eV/atom
symmetry = P4/mmm (123)

abc: 4.902 4.902 4.735
angles: 90.00 90.00 90.00
Element x y z (fractional)
Lu1 0.000 0.500 0.000
Lu2 0.500 0.000 0.000
Th1 0.000 0.000 0.500
Pb1 0.500 0.500 0.500



3.
This record from Alexandria via LeMat-Bulk describes LuThPb after structural relaxation. The functional is GGA-PBE.

Properties
M_tot = 0.00 Bohr magnetons per cell
density = 10.1 g/cm³
polymorph energy (0 for the lowest one) = 439 meV per atom
D(E_F) = 1.452 states/eV per atom
DFT formation energy = 0.391 eV/atom
symmetry = I4mm (107)

abc: 3.312 3.312 18.338
angles: 90.00 90.00 90.00
Element x y z (fractional)
Lu1 0.000 0.000 0.000
Lu2 0.500 0.500 0.500
Th1 0.000 0.000 0.188
Th2 0.500 0.500 0.688
Pb1 0.000 0.000 0.829
Pb2 0.500 0.500 0.329



4.
This record from Alexandria via LeMat-Bulk describes LuThPb2 after structural relaxation. The functional is GGA-PBE.

Properties
M_tot = 0.00 Bohr magnetons per cell
density = 11.9 g/cm³
D(E_F) = 1.023 states/eV per atom
DFT formation energy = -0.303 eV/atom
symmetry = P4/mmm (123)

abc: 5.030 5.030 4.544
angles: 90.00 90.00 90.00
Element x y z (fractional)
Lu1 0.000 0.000 0.000
Th1 0.500 0.500 0.000
Pb1 0.000 0.500 0.500
Pb2 0.500 0.000 0.500



5.
This record from Alexandria via LeMat-Bulk describes LuThPb2 after structural relaxation. The functional is GGA-PBE.

Properties
M_tot = 0.00 Bohr magnetons per cell
density = 11.7 g/cm³
D(E_F) = 1.459 states/eV per atom
DFT formation energy = -0.210 eV/atom
symmetry = Fm-3m (225)

abc: 7.746 7.746 7.746
angles: 90.00 90.00 90.00
Element x y z (fractional)
Lu1 0.000 0.000 0.000
Lu2 0.000 0.500 0.500
Lu3 0.500 0.000 0.500
Lu4 0.500 0.500 0.000
Th1 0.000 0.000 0.500
Th2 0.000 0.500 0.000
Th3 0.500 0.000 0.000
Th4 0.500 0.500 0.500
Pb1 0.250 0.250 0.250
Pb2 0.250 0.250 0.750
Pb3 0.250 0.750 0.250
Pb4 0.250 0.750 0.750
Pb5 0.750 0.250 0.250
Pb6 0.750 0.250 0.750
Pb7 0.750 0.750 0.250
Pb8 0.750 0.750 0.750



6.
This record from Alexandria via LeMat-Bulk describes LuThPb2 after structural relaxation. The functional is GGA-PBE.

Properties
M_tot = 0.00 Bohr magnetons per cell
density = 11.7 g/cm³
D(E_F) = 0.910 states/eV per atom
DFT formation energy = -0.207 eV/atom
symmetry = R-3m (166)

abc: 3.576 3.576 31.683
angles: 90.00 90.00 120.00
Element x y z (fractional)
Lu1 0.000 0.000 0.000
Lu2 0.333 0.667 0.667
Lu3 0.667 0.333 0.333
Th1 0.000 0.000 0.500
Th2 0.333 0.667 0.167
Th3 0.667 0.333 0.833
Pb1 0.000 0.000 0.254
Pb2 0.000 0.000 0.746
Pb3 0.333 0.667 0.413
Pb4 0.333 0.667 0.920
Pb5 0.667 0.333 0.080
Pb6 0.667 0.333 0.587



7.
This record from Alexandria via LeMat-Bulk describes LuThZnPb after structural relaxation. The functional is GGA-PBE.

Properties
M_tot = 0.00 Bohr magnetons per cell
density = 10.7 g/cm³
D(E_F) = 1.031 states/eV per atom
DFT formation energy = -0.194 eV/atom
symmetry = F-43m (216)

abc: 7.499 7.499 7.499
angles: 90.00 90.00 90.00
Element x y z (fractional)
Lu1 0.000 0.000 0.000
Lu2 0.000 0.500 0.500
Lu3 0.500 0.000 0.500
Lu4 0.500 0.500 0.000
Th1 0.000 0.000 0.500
Th2 0.000 0.500 0.000
Th3 0.500 0.000 0.000
Th4 0.500 0.500 0.500
Zn1 0.250 0.250 0.250
Zn2 0.250 0.750 0.750
Zn3 0.750 0.250 0.750
Zn4 0.750 0.750 0.250
Pb1 0.250 0.250 0.750
Pb2 0.250 0.750 0.250
Pb3 0.750 0.250 0.250
Pb4 0.750 0.750 0.750



8.
This record from Alexandria via LeMat-Bulk describes Lu2TiPb after structural relaxation. The functional is GGA-PBE.

Properties
M_tot = 1.86 Bohr magnetons per cell
density = 10.0 g/cm³
polymorph energy (0 for the lowest one) = 1 meV per atom
D(E_F) = 1.235 states/eV per atom
DFT formation energy = -0.095 eV/atom
symmetry = P4/mmm (123)

abc: 3.712 3.712 7.296
angles: 90.00 90.00 90.00
Element x y z (fractional)
Lu1 0.000 0.000 0.231
Lu2 0.000 0.000 0.769
Ti1 0.500 0.500 0.000
Pb1 0.500 0.500 0.500